(1)
Mg6HIr | PBE-GGA | optimized geometry

a = 7.2360 Å, b = 6.6075 Å, c = 6.4407 Å
α = 90.00°, β = 90.00°, γ = 90.00°
Last column: nearest neighbours and their distance in Å.
Space group Amm2 (No. 38)
Inequivalent atoms, fractional coordinates:
Mg 0.0000 0.0000 0.0000 (multiplicity 2)  12 Mg 3.14-3.30
Mg 0.0000 0.0000 0.4930 (multiplicity 2)  12 Mg 3.15-3.30
Mg 0.3004 0.2394 0.7481 (multiplicity 8)  1 H 2.25
H 0.5000 0.0000 0.2254 (multiplicity 2)  1 Ir 1.67
Ir 0.5000 0.0000 0.4839 (multiplicity 2)  1 H 1.67

As for the total energy: -45.8 eV/cell. For the density of states at the Fermi level, the calculation gives 0.37 states/eV/atom. The calculation puts the size of the total moment at 0.0 μB/f.u. The value obtained for the distance to the lowest polymorph of the same formula is 34 meV per atom. Its theoretical density is 3.66 g/cm3.

(2)
Mg4H4Ir | PBE-GGA | optimized geometry

a = 4.5280 Å, b = 4.5456 Å, c = 6.0435 Å
α = 90.00°, β = 111.95°, γ = 90.00°
Last column: nearest neighbours and their distance in Å.
Space group P2 (No. 3)
Inequivalent atoms, fractional coordinates:
Mg 0.1496 0.0000 0.2969 (multiplicity 2)  4 H 2.30-2.32
Mg 0.3488 0.5005 0.6976 (multiplicity 2)  4 H 2.32-2.35
H 0.2375 0.7405 0.9975 (multiplicity 2)  1 Ir 1.68
H 0.2376 0.2634 0.9975 (multiplicity 2)  1 Ir 1.68
Ir 0.5000 0.0019 0.0000 (multiplicity 1)  4 H 1.68

As for the total energy: -31.0 eV/cell. For the density of states at the Fermi level, the calculation gives 0.27 states/eV/atom. The calculation puts the size of the total moment at 0.0 μB/f.u. The value obtained for the distance to the lowest polymorph of the same formula is 16 meV per atom. Its theoretical density is 4.22 g/cm3.

(3)
Mg6HIr2 | PBE-GGA | optimized geometry

a = 4.6881 Å, b = 5.9282 Å, c = 5.1289 Å
α = 90.00°, β = 90.34°, γ = 90.00°
Last column: nearest neighbours and their distance in Å.
Space group Pm (No. 6)
Inequivalent atoms, fractional coordinates:
Mg 0.0000 0.0000 0.0000 (multiplicity 1)  1 H 2.53, 2 Mg 2.80, 1 Ir 2.81
Mg 0.0138 0.2569 0.5421 (multiplicity 2)  1 H 2.19
Mg 0.4962 0.2516 0.1861 (multiplicity 2)  1 H 2.14
Mg 0.5126 0.5000 0.7305 (multiplicity 1)  6 Mg 2.76-2.93, 4 Ir 2.82-2.97
H 0.7091 0.0000 0.4146 (multiplicity 1)  1 Ir 1.68
Ir 0.5070 0.0000 0.6842 (multiplicity 1)  1 H 1.68
Ir 0.9982 0.5000 0.0583 (multiplicity 1)  12 Mg 2.82-3.02

As for the total energy: -33.2 eV/cell. For the density of states at the Fermi level, the calculation gives 0.33 states/eV/atom. The calculation puts the size of the total moment at 0.0 μB/f.u. The value obtained for the distance to the lowest polymorph of the same formula is 30 meV per atom. Its theoretical density is 6.19 g/cm3.

(4)
MgH2Ir | PBE-GGA | optimized geometry

a = 4.1549 Å, b = 4.1549 Å, c = 9.2562 Å
α = 90.00°, β = 90.00°, γ = 90.00°
Last column: nearest neighbours and their distance in Å.
Space group I-42d (No. 122)
Inequivalent atoms, fractional coordinates:
Mg 0.0000 0.0000 0.0000 (multiplicity 4)  4 H 2.02
H 0.1879 0.2500 0.6250 (multiplicity 8)  2 Ir 1.74
Ir 0.0000 0.0000 0.5000 (multiplicity 4)  4 H 1.74

As for the total energy: -70.6 eV/cell. For the density of states at the Fermi level, the calculation gives 0.20 states/eV/atom. The calculation puts the size of the total moment at 0.0 μB/f.u. Its theoretical density is 9.08 g/cm3.

(5)
Mg3HIr | PBE-GGA | optimized geometry

a = 4.1248 Å, b = 4.1248 Å, c = 4.1248 Å
α = 90.00°, β = 90.00°, γ = 90.00°
Last column: nearest neighbours and their distance in Å.
Space group Pm-3m (No. 221)
Inequivalent atoms, fractional coordinates:
Mg 0.0000 0.0000 0.5000 (multiplicity 3)  2 H 2.06
H 0.0000 0.0000 0.0000 (multiplicity 1)  6 Mg 2.06
Ir 0.5000 0.5000 0.5000 (multiplicity 1)  12 Mg 2.92

As for the total energy: -17.9 eV/cell. For the density of states at the Fermi level, the calculation gives 0.40 states/eV/atom. The calculation puts the size of the total moment at 0.0 μB/f.u. The value obtained for the distance to the lowest polymorph of the same formula is 138 meV per atom. Its theoretical density is 6.30 g/cm3.

(6)
MgH6Ir2 | PBE-GGA | optimized geometry

a = 5.5650 Å, b = 6.6963 Å, c = 4.2106 Å
α = 90.00°, β = 90.24°, γ = 90.00°
Last column: nearest neighbours and their distance in Å.
Space group Cm (No. 8)
Inequivalent atoms, fractional coordinates:
Mg 0.0000 0.0000 0.0000 (multiplicity 2)  6 H 2.16-2.32
H 0.2326 0.5000 0.4214 (multiplicity 2)  2 Ir 1.73
H 0.2634 0.0000 0.4264 (multiplicity 2)  2 Ir 1.73
H 0.4975 0.2236 0.2664 (multiplicity 4)  2 Ir 1.77
H 0.4992 0.2060 0.7777 (multiplicity 4)  2 Ir 1.78
Ir 0.2484 0.2508 0.5234 (multiplicity 4)  6 H 1.73-1.78

As for the total energy: -80.3 eV/cell. For the density of states at the Fermi level, the calculation gives 0.14 states/eV/atom. The calculation puts the size of the total moment at 0.0 μB/f.u. The value obtained for the distance to the lowest polymorph of the same formula is 36 meV per atom. Its theoretical density is 8.78 g/cm3.

(7)
MgH6Ir2 | PBE-GGA | optimized geometry

a = 5.9978 Å, b = 6.9907 Å, c = 7.1098 Å
α = 90.00°, β = 90.00°, γ = 90.00°
Last column: nearest neighbours and their distance in Å.
Space group Fmm2 (No. 42)
Inequivalent atoms, fractional coordinates:
Mg 0.0000 0.0000 0.0000 (multiplicity 4)  10 H 2.25-2.45
H 0.0000 0.1454 0.6866 (multiplicity 8)  2 Ir 1.72
H 0.1987 0.0000 0.2683 (multiplicity 8)  2 Ir 1.78
H 0.2500 0.2500 0.4952 (multiplicity 8)  2 Ir 1.78
Ir 0.2500 0.2500 0.2456 (multiplicity 8)  6 H 1.72-1.78

As for the total energy: -161.9 eV/cell. For the density of states at the Fermi level, the calculation gives 0.14 states/eV/atom. The calculation puts the size of the total moment at 0.0 μB/f.u. The value obtained for the distance to the lowest polymorph of the same formula is 0 meV per atom. Its theoretical density is 9.24 g/cm3.

(8)
MgHIr | PBE-GGA | optimized geometry

a = 4.4769 Å, b = 4.6289 Å, c = 5.5570 Å
α = 93.04°, β = 90.02°, γ = 117.86°
Last column: nearest neighbours and their distance in Å.
Space group P-1 (No. 2)
Inequivalent atoms, fractional coordinates:
Mg 0.0000 0.0000 0.0000 (multiplicity 1)  4 H 2.31-2.34
Mg 0.3280 0.6597 0.6712 (multiplicity 2)  4 H 2.14-2.29
H 0.0000 0.5000 0.0000 (multiplicity 1)  2 Ir 1.73
H 0.1922 0.3611 0.3426 (multiplicity 2)  2 Ir 1.76
Ir 0.0000 0.0000 0.5000 (multiplicity 1)  2 H 1.76
Ir 0.3725 0.7074 0.1708 (multiplicity 2)  2 H 1.73-1.76

As for the total energy: -44.1 eV/cell. For the density of states at the Fermi level, the calculation gives 0.23 states/eV/atom. The calculation puts the size of the total moment at 0.0 μB/f.u. Its theoretical density is 10.66 g/cm3.

(9)
MgH5Ir3 | PBE-GGA | optimized geometry

a = 8.0771 Å, b = 4.6468 Å, c = 5.7383 Å
α = 90.00°, β = 129.12°, γ = 90.00°
Last column: nearest neighbours and their distance in Å.
Space group Cm (No. 8)
Inequivalent atoms, fractional coordinates:
Mg 0.0000 0.0000 0.0000 (multiplicity 2)  4 H 2.30-2.33
H 0.0105 0.5000 0.0235 (multiplicity 2)  2 Ir 1.79-1.83
H 0.0953 0.5000 0.7303 (multiplicity 2)  2 Ir 1.71-1.88
H 0.1873 0.0000 0.7333 (multiplicity 2)  2 Ir 1.72-1.76
H 0.3547 0.2395 0.1730 (multiplicity 4)  2 Ir 1.74-1.78
Ir 0.0685 0.5000 0.3806 (multiplicity 2)  4 H 1.74-1.88
Ir 0.3414 0.0000 0.6132 (multiplicity 2)  3 H 1.71-1.83
Ir 0.4160 0.5000 0.4441 (multiplicity 2)  3 H 1.72-1.78

As for the total energy: -89.8 eV/cell. For the density of states at the Fermi level, the calculation gives 0.18 states/eV/atom. The calculation puts the size of the total moment at 0.0 μB/f.u. The value obtained for the distance to the lowest polymorph of the same formula is 11 meV per atom. Its theoretical density is 12.04 g/cm3.

(10)
Mg5HIr | PBE-GGA | optimized geometry

a = 5.7765 Å, b = 7.9211 Å, c = 5.5444 Å
α = 90.00°, β = 96.49°, γ = 90.00°
Last column: nearest neighbours and their distance in Å.
Space group Cm (No. 8)
Inequivalent atoms, fractional coordinates:
Mg 0.0000 0.0000 0.0000 (multiplicity 2)  1 H 2.54, 2 Ir 2.77-2.78
Mg 0.1525 0.3111 0.2827 (multiplicity 4)  2 H 2.62-2.77, 2 Ir 2.77-2.89, 1 Mg 2.88
Mg 0.3835 0.1889 0.7372 (multiplicity 4)  1 H 2.46
H 0.2752 0.0000 0.3914 (multiplicity 2)  1 Ir 1.66
Ir 0.0199 0.0000 0.5035 (multiplicity 2)  1 H 1.66

As for the total energy: -43.0 eV/cell. For the density of states at the Fermi level, the calculation gives 0.33 states/eV/atom. The calculation puts the size of the total moment at 0.0 μB/f.u. The value obtained for the distance to the lowest polymorph of the same formula is 0 meV per atom. Its theoretical density is 4.15 g/cm3.

(11)
Mg4H3Ir2 | PBE-GGA | optimized geometry

a = 4.5108 Å, b = 4.5184 Å, c = 7.2703 Å
α = 72.05°, β = 72.14°, γ = 60.76°
Last column: nearest neighbours and their distance in Å.
Space group P1 (No. 1)
Inequivalent atoms, fractional coordinates:
Mg 0.0000 0.0000 0.0000 (multiplicity 1)  2 H 2.42-2.43, 1 Ir 2.71
Mg 0.1362 0.1344 0.5491 (multiplicity 1)  4 H 2.18-2.30
Mg 0.5589 0.5578 0.2810 (multiplicity 1)  3 H 2.00-2.20
Mg 0.7304 0.7280 0.8034 (multiplicity 1)  1 H 2.48, 3 Ir 2.66
H 0.0543 0.5356 0.2834 (multiplicity 1)  1 Ir 1.66
H 0.5343 0.0537 0.2841 (multiplicity 1)  1 Ir 1.66
H 0.6065 0.6046 0.5334 (multiplicity 1)  1 Ir 1.66
Ir 0.2965 0.2970 0.1115 (multiplicity 1)  2 H 1.66
Ir 0.4182 0.4151 0.7333 (multiplicity 1)  1 H 1.66

As for the total energy: -37.1 eV/cell. For the density of states at the Fermi level, the calculation gives 0.29 states/eV/atom. The calculation puts the size of the total moment at 0.0 μB/f.u. The value obtained for the distance to the lowest polymorph of the same formula is 13 meV per atom. Its theoretical density is 6.66 g/cm3.

(12)
MgH6Ir | PBE-GGA | optimized geometry

a = 3.6387 Å, b = 4.4511 Å, c = 4.8058 Å
α = 115.04°, β = 112.23°, γ = 90.02°
Last column: nearest neighbours and their distance in Å.
Space group P1 (No. 1)
Inequivalent atoms, fractional coordinates:
Mg 0.0000 0.0000 0.0000 (multiplicity 1)  5 H 2.02-2.21
H 0.0251 0.5403 0.4991 (multiplicity 1)  1 Ir 1.62, 1 H 1.62
H 0.2286 0.0178 0.4612 (multiplicity 1)  1 Ir 1.66
H 0.4708 0.5401 0.4987 (multiplicity 1)  1 Ir 1.62, 1 H 1.62
H 0.5234 0.3006 0.0486 (multiplicity 1)  1 Ir 1.68
H 0.5390 0.8061 0.0792 (multiplicity 1)  1 Ir 1.68
H 0.8888 0.3726 0.7804 (multiplicity 1)  2 Ir 1.85, 2 H 2.00
Ir 0.3700 0.4227 0.7426 (multiplicity 1)  5 H 1.62-1.68

As for the total energy: -31.6 eV/cell. For the density of states at the Fermi level, the calculation gives 0.04 states/eV/atom. The calculation puts the size of the total moment at 0.0 μB/f.u. The value obtained for the distance to the lowest polymorph of the same formula is 7 meV per atom. Its theoretical density is 5.77 g/cm3.